Tc4AsW | PBE | optimized geometry

Properties
E_form (kJ/mol of atoms): 50.8
Crystal system: cubic
Total magnetic moment (μB/f.u.): 0.00
Uncorrected energy (eV/atom): -9.318
SG: No. 216

Cell lengths 5.1216, 5.1216, 5.1216 Å; angles 60.00, 60.00, 60.00 degrees
Last column: nearest neighbours and their distance in Å.
Atoms (fractional coordinates):
Tc 0.8769 0.3744 0.3744  6 Tc 2.55-2.57
Tc 0.3744 0.3744 0.3744  6 Tc 2.55-2.57
Tc 0.3744 0.3744 0.8769  6 Tc 2.55-2.57
Tc 0.3744 0.8769 0.3744  6 Tc 2.55-2.57
As 0.0000 0.0000 0.0000  12 Tc 3.00, 4 W 3.14
W 0.7500 0.7500 0.7500  12 Tc 3.00, 4 As 3.14